This record from Alexandria describes a relaxed InHSeI2 crystal. The functional is PBE.

Unit cell a=5.882 b=5.882 c=3.736 alpha=90.00 beta=90.00 gamma=90.00
Space group P4/mmm (No. 123)
Symmetry-distinct sites (fractional):
In 0.000 0.000 0.000 x1
H 0.000 0.000 0.500 x1
Se 0.500 0.500 0.000 x1
I 0.000 0.500 0.500 x2

Output
Total energy = -2.1548 eV per atom
Magnetization = 0.00 μB/f.u.
Density of states at the Fermi level = 0.89 states/eV/atom

=====

This record from Alexandria describes a relaxed BaAgO3 crystal. The functional is PBE.

Unit cell a=6.2433 b=6.2433 c=19.4302 alpha=90.00 beta=90.00 gamma=120.00
Space group R-3c (No. 167, hexagonal axes)
Symmetry-distinct sites (fractional):
Ba 0.0000 0.0000 0.0000 x6
Ag 0.0000 0.0000 0.2500 x6
O 0.0000 0.3097 0.2500 x18

Output
Raw formation energy = -0.692 eV per atom
Total energy = -4.6219 eV per atom
Magnetization = 1.00 μB/f.u.
Density of states at the Fermi level = 1.35 states/eV/atom

=====

This record from Alexandria describes a relaxed Pm5SmIr2 crystal. The functional is PBE.

Unit cell a=4.239 b=7.374 c=15.969 alpha=90.00 beta=90.00 gamma=90.00
Space group Immm (No. 71)
Symmetry-distinct sites (fractional):
Pm 0.000 0.000 0.000 x2
Pm 0.000 0.248 0.341 x8
Sm 0.000 0.500 0.000 x2
Ir 0.000 0.000 0.185 x4

Output
Total energy = -6.1303 eV per atom
Calculated formation energy = -8.21 kcal/mol of atoms
Magnetization = 0.00 μB/f.u.
Density of states at the Fermi level = 1.33 states/eV/atom

=====

This record from Alexandria describes a relaxed Sr2ScSn3Ir4 crystal. The functional is PBE.

Unit cell a=4.419 b=4.419 c=11.518 alpha=90.00 beta=90.00 gamma=90.00
Space group P-4m2 (No. 115)
Symmetry-distinct sites (fractional):
Sr 0.000 0.500 0.241 x2
Sc 0.000 0.000 0.500 x1
Sn 0.000 0.500 0.872 x2
Sn 0.500 0.500 0.500 x1
Ir 0.000 0.000 0.000 x1
Ir 0.000 0.500 0.637 x2
Ir 0.500 0.500 0.000 x1

Output
Total energy = -6.2747 eV per atom
Calculated formation energy = -12.91 kcal/mol of atoms
Magnetization = 0.00 μB/f.u.
Density of states at the Fermi level = 0.53 states/eV/atom

=====

This record from Alexandria describes a relaxed Sm3ThZn4 crystal. The functional is PBE.

Unit cell a=3.632 b=5.163 c=10.343 alpha=90.00 beta=90.00 gamma=90.00
Space group Pmmm (No. 47)
Symmetry-distinct sites (fractional):
Sm 0.000 0.000 0.000 x1
Sm 0.000 0.500 0.251 x2
Th 0.000 0.000 0.500 x1
Zn 0.500 0.000 0.246 x2
Zn 0.500 0.500 0.000 x1
Zn 0.500 0.500 0.500 x1

Output
Total energy = -3.6144 eV per atom
Calculated formation energy = -6.46 kcal/mol of atoms
Magnetization = 0.00 μB/f.u.
Density of states at the Fermi level = 1.03 states/eV/atom

=====

This record from Alexandria describes a relaxed MnReSeBr2 crystal. The functional is PBE.

Unit cell a=5.026 b=5.026 c=5.258 alpha=90.00 beta=90.00 gamma=90.00
Space group P4/mmm (No. 123)
Symmetry-distinct sites (fractional):
Mn 0.000 0.000 0.000 x1
Re 0.500 0.500 0.500 x1
Se 0.000 0.000 0.500 x1
Br 0.000 0.500 0.000 x2

Output
Raw formation energy = 0.934 eV per atom
Total energy = -4.7556 eV per atom
Magnetization = 9.99 μB/f.u.
Density of states at the Fermi level = 0.27 states/eV/atom

=====

This record from Alexandria describes a relaxed Ni2AgCl crystal. The functional is PBE.

Unit cell a=2.943 b=2.943 c=6.593 alpha=90.00 beta=90.00 gamma=90.00
Space group P4/mmm (No. 123)
Symmetry-distinct sites (fractional):
Ni 0.000 0.000 0.233 x2
Ag 0.500 0.500 0.500 x1
Cl 0.500 0.500 0.000 x1

Output
Raw formation energy = 0.387 eV per atom
Total energy = -3.6783 eV per atom
Magnetization = 1.15 μB/f.u.
Density of states at the Fermi level = 1.06 states/eV/atom

=====

This record from Alexandria describes a relaxed Sm4PtI5 crystal. The functional is PBE.

Unit cell a=19.751 b=4.230 c=9.100 alpha=90.00 beta=102.74 gamma=90.00
Space group C2/m (No. 12)
Symmetry-distinct sites (fractional):
Sm 0.001 0.000 0.208 x4
Sm 0.147 0.500 0.076 x4
Pt 0.000 0.500 0.000 x2
I 0.000 0.500 0.500 x2
I 0.168 0.000 0.343 x4
I 0.176 0.000 0.829 x4

Output
Raw formation energy = -1.250 eV per atom
Total energy = -4.5167 eV per atom
Magnetization = 0.00 μB/f.u.
Density of states at the Fermi level = 0.55 states/eV/atom

=====

This record from Alexandria describes a relaxed Cu3Tc5 crystal. The functional is PBE.

Unit cell a=7.413 b=7.893 c=3.740 alpha=90.00 beta=90.00 gamma=90.00
Space group Cmmm (No. 65)
Symmetry-distinct sites (fractional):
Cu 0.000 0.000 0.000 x2
Cu 0.242 0.000 0.500 x4
Tc 0.000 0.258 0.500 x4
Tc 0.000 0.500 0.000 x2
Tc 0.250 0.250 0.000 x4

Output
Total energy = -7.7792 eV per atom
Calculated formation energy = 5.43 kcal/mol of atoms
Magnetization = 0.00 μB/f.u.
Density of states at the Fermi level = 0.84 states/eV/atom

=====

This record from Alexandria describes a relaxed Cs2KRb crystal. The functional is PBE.

Unit cell a=5.0901 b=5.0901 c=53.5573 alpha=90.00 beta=90.00 gamma=120.00
Space group R-3m (No. 166, hexagonal axes)
Symmetry-distinct sites (fractional):
Cs 0.0000 0.0000 0.0859 x6
K 0.0000 0.0000 0.0000 x3
Rb 0.0000 0.0000 0.5000 x3

Output
Total energy = -0.8948 eV per atom
Calculated formation energy = 1.11 kcal/mol of atoms
Magnetization = 0.00 μB/f.u.
Density of states at the Fermi level = 1.16 states/eV/atom

=====

This record from Alexandria describes a relaxed Dy3SiO6 crystal. The functional is PBE.

Unit cell a=8.954 b=11.005 c=5.407 alpha=90.00 beta=90.00 gamma=90.00
Space group Cmc2_1 (No. 36)
Symmetry-distinct sites (fractional):
Dy 0.000 0.100 0.000 x4
Dy 0.188 0.400 0.957 x8
Si 0.000 0.307 0.416 x4
O 0.000 0.282 0.716 x4
O 0.000 0.453 0.321 x4
O 0.145 0.244 0.271 x8
O 0.156 0.016 0.725 x8

Output
Raw formation energy = -3.193 eV per atom
Total energy = -8.0907 eV per atom
Magnetization = 0.00 μB/f.u.
Density of states at the Fermi level = 0.20 states/eV/atom

=====

This record from Alexandria describes a relaxed GeH4 crystal. The functional is PBE.

Unit cell a=6.724 b=8.038 c=4.679 alpha=90.00 beta=96.59 gamma=90.00
Space group C2/c (No. 15)
Symmetry-distinct sites (fractional):
Ge 0.000 0.110 0.250 x4
H 0.004 0.399 0.831 x8
H 0.141 0.042 0.915 x8

Output
Total energy = -3.3914 eV per atom
Magnetization = 0.00 μB/f.u.

=====

- total energy of number 10 (Cs2KRb)?
  -0.8948 eV per atom

=====

- Which value of magnetization does entry 5 give?
  0.00 μB/f.u.

=====

- The highest total energy belongs to which entry?
  Cs2KRb